1.
Below is a crystal of Mn4IrW relaxed with PBEsol, with properties calculated at the meta-GGA SCAN level.

Lattice parameters (Å, degrees): 6.556 6.556 6.556 90.00 90.00 90.00
Space group F-43m (No. 216)
Asymmetric unit:
Mn1 0.123 0.123 0.377 x16
Ir1 0.250 0.250 0.750 x4
W1 0.000 0.000 0.000 x4

Theoretical density ... 14.05 g/cm3
Formation energy from the elements ... -0.027 eV per atom
E_tot ... -35.66 eV/atom

=====

2.
Below is a crystal of Mn2IrW relaxed with PBEsol, with properties calculated at the meta-GGA SCAN level.

Lattice parameters (Å, degrees): 2.655 3.597 5.374 90.00 90.00 90.00
Space group Pmmm (No. 47)
Asymmetric unit:
Mn1 0.000 0.000 0.240 x2
Ir1 0.500 0.500 0.000 x1
W1 0.500 0.500 0.500 x1

Theoretical density ... 15.72 g/cm3
Formation energy from the elements ... -0.080 eV per atom
E_tot ... -44.40 eV/atom

=====

3.
Below is a crystal of Mn2IrW relaxed with PBEsol, with properties calculated at the meta-GGA SCAN level.

Lattice parameters (Å, degrees): 3.758 3.758 3.629 90.00 90.00 90.00
Space group P4/mmm (No. 123)
Asymmetric unit:
Mn1 0.000 0.500 0.000 x2
Ir1 0.000 0.000 0.500 x1
W1 0.500 0.500 0.500 x1

Theoretical density ... 15.74 g/cm3
Formation energy from the elements ... -0.195 eV per atom
E_tot ... -44.52 eV/atom